Run w
Cd2Ag: relaxed, PBEsol.

a = 5.441 Å, b = 5.441 Å, c = 5.441 Å
α = 104.30°, β = 104.30°, γ = 120.39°
Positions (direct):
Cd  0.156  0.656  0.813
Cd  0.344  0.156  0.500
Cd  0.656  0.844  0.500
Cd  0.844  0.344  0.187
Ag  0.250  0.250  0.000
Ag  0.750  0.750  0.000

Computed properties:
Total moment (μB per cell): 0.0
Symmetry: I4/mcm (140)

---

Run x
Cd2Ag: relaxed, PBEsol.

a = 5.946 Å, b = 5.946 Å, c = 5.946 Å
α = 148.79°, β = 148.79°, γ = 44.72°
Positions (direct):
Cd  0.161  0.161  0.000
Cd  0.839  0.839  0.000
Ag  0.500  0.500  0.000

Computed properties:
Total moment (μB per cell): 0.0
Symmetry: I4/mmm (139)

---

Most stable structure: run x

---

Run w
Cd3Ag5: relaxed, PBEsol.

a = 7.966 Å, b = 7.966 Å, c = 5.358 Å
α = 90.00°, β = 90.00°, γ = 120.00°
Positions (direct):
Cd  0.000  0.402  0.250
Cd  0.000  0.598  0.750
Cd  0.402  0.000  0.250
Cd  0.402  0.402  0.750
Cd  0.598  0.000  0.750
Cd  0.598  0.598  0.250
Ag  0.000  0.213  0.750
Ag  0.000  0.787  0.250
Ag  0.213  0.000  0.750
Ag  0.213  0.213  0.250
Ag  0.333  0.667  0.000
Ag  0.333  0.667  0.500
Ag  0.667  0.333  0.000
Ag  0.667  0.333  0.500
Ag  0.787  0.000  0.250
Ag  0.787  0.787  0.750

Computed properties:
Total moment (μB per cell): 0.0
Symmetry: P6_3/mcm (193)

---

Run x
Cd3Ag5: relaxed, PBEsol.

a = 7.838 Å, b = 7.838 Å, c = 7.789 Å
α = 95.97°, β = 95.97°, γ = 140.41°
Positions (direct):
Cd  0.166  0.834  0.000
Cd  0.232  0.768  0.500
Cd  0.233  0.233  0.668
Cd  0.767  0.767  0.332
Cd  0.768  0.232  0.500
Cd  0.834  0.166  0.000
Ag  0.156  0.348  0.356
Ag  0.226  0.570  0.812
Ag  0.273  0.273  0.043
Ag  0.348  0.156  0.356
Ag  0.430  0.774  0.188
Ag  0.570  0.226  0.812
Ag  0.652  0.844  0.644
Ag  0.727  0.727  0.957
Ag  0.774  0.430  0.188
Ag  0.844  0.652  0.644

Computed properties:
Total moment (μB per cell): 0.0
Symmetry: C2/m (12)

---

Run y
Cd3Ag5: relaxed, PBEsol.

a = 5.816 Å, b = 5.816 Å, c = 4.172 Å
α = 90.00°, β = 90.00°, γ = 92.99°
Positions (direct):
Cd  0.000  0.000  0.000
Cd  0.258  0.742  0.500
Cd  0.742  0.258  0.500
Ag  0.000  0.500  0.000
Ag  0.248  0.248  0.500
Ag  0.500  0.000  0.000
Ag  0.500  0.500  0.000
Ag  0.752  0.752  0.500

Computed properties:
Total moment (μB per cell): 0.0
Symmetry: Cmmm (65)

---

Most stable structure: run y

---

Run w
Cd5Ag4: relaxed, PBEsol.

a = 6.583 Å, b = 6.583 Å, c = 6.583 Å
α = 95.92°, β = 95.92°, γ = 142.54°
Positions (direct):
Cd  0.000  0.000  0.000
Cd  0.331  0.331  0.661
Cd  0.331  0.669  0.000
Cd  0.669  0.331  0.000
Cd  0.669  0.669  0.339
Ag  0.000  0.337  0.337
Ag  0.000  0.663  0.663
Ag  0.337  0.000  0.337
Ag  0.663  0.000  0.663

Computed properties:
Total moment (μB per cell): 0.0
Symmetry: I4/mmm (139)

---

Run x
Cd5Ag4: relaxed, PBEsol.

a = 8.168 Å, b = 8.168 Å, c = 5.747 Å
α = 90.00°, β = 90.00°, γ = 120.00°
Positions (direct):
Cd  0.000  0.301  0.250
Cd  0.000  0.699  0.750
Cd  0.301  0.000  0.250
Cd  0.301  0.301  0.750
Cd  0.333  0.667  0.000
Cd  0.333  0.667  0.500
Cd  0.667  0.333  0.000
Cd  0.667  0.333  0.500
Cd  0.699  0.000  0.750
Cd  0.699  0.699  0.250
Ag  0.000  0.000  0.000
Ag  0.000  0.000  0.500
Ag  0.000  0.364  0.750
Ag  0.000  0.636  0.250
Ag  0.364  0.000  0.750
Ag  0.364  0.364  0.250
Ag  0.636  0.000  0.250
Ag  0.636  0.636  0.750

Computed properties:
Total moment (μB per cell): 0.0
Symmetry: P6_3/mcm (193)

---

Most stable structure: run w

---

Run w
Cd4Ag5: relaxed, PBEsol.

a = 6.563 Å, b = 6.563 Å, c = 6.563 Å
α = 95.76°, β = 95.76°, γ = 143.07°
Positions (direct):
Cd  0.000  0.324  0.324
Cd  0.000  0.676  0.676
Cd  0.324  0.000  0.324
Cd  0.676  0.000  0.676
Ag  0.000  0.000  0.000
Ag  0.335  0.335  0.669
Ag  0.335  0.665  0.000
Ag  0.665  0.335  0.000
Ag  0.665  0.665  0.331

Computed properties:
Total moment (μB per cell): 0.0
Symmetry: I4/mmm (139)

---

Run x
Cd4Ag5: relaxed, PBEsol.

a = 8.145 Å, b = 8.145 Å, c = 5.660 Å
α = 90.00°, β = 90.00°, γ = 120.00°
Positions (direct):
Cd  0.000  0.000  0.000
Cd  0.000  0.000  0.500
Cd  0.000  0.361  0.250
Cd  0.000  0.639  0.750
Cd  0.361  0.000  0.250
Cd  0.361  0.361  0.750
Cd  0.639  0.000  0.750
Cd  0.639  0.639  0.250
Ag  0.000  0.309  0.750
Ag  0.000  0.691  0.250
Ag  0.309  0.000  0.750
Ag  0.309  0.309  0.250
Ag  0.333  0.667  0.000
Ag  0.333  0.667  0.500
Ag  0.667  0.333  0.000
Ag  0.667  0.333  0.500
Ag  0.691  0.000  0.250
Ag  0.691  0.691  0.750

Computed properties:
Total moment (μB per cell): 0.0
Symmetry: P6_3/mcm (193)

---

Most stable structure: run w

---

Run w
Cd4Ag3: relaxed, PBEsol.

a = 11.737 Å, b = 11.737 Å, c = 11.737 Å
α = 163.57°, β = 163.57°, γ = 23.31°
Positions (direct):
Cd  0.070  0.070  0.000
Cd  0.351  0.351  0.000
Cd  0.649  0.649  0.000
Cd  0.930  0.930  0.000
Ag  0.217  0.217  0.000
Ag  0.500  0.500  0.000
Ag  0.783  0.783  0.000

Computed properties:
Total moment (μB per cell): 0.0
Symmetry: I4/mmm (139)

---

Run x
Cd4Ag3: relaxed, PBEsol.

a = 5.397 Å, b = 5.397 Å, c = 5.321 Å
α = 90.00°, β = 90.00°, γ = 120.00°
Positions (direct):
Cd  0.000  0.000  0.247
Cd  0.000  0.000  0.753
Cd  0.333  0.667  0.000
Cd  0.667  0.333  0.000
Ag  0.000  0.500  0.500
Ag  0.500  0.000  0.500
Ag  0.500  0.500  0.500

Computed properties:
Total moment (μB per cell): 0.0
Symmetry: P6/mmm (191)

---

Most stable structure: run w

---

Run w
CdAgHg: relaxed, PBEsol.

a = 4.774 Å, b = 4.774 Å, c = 2.927 Å
α = 90.00°, β = 90.00°, γ = 120.00°
Positions (direct):
Cd  0.000  0.000  0.000
Ag  0.333  0.667  0.397
Hg  0.667  0.333  0.652

Computed properties:
Total moment (μB per cell): 0.0
Symmetry: P3m1 (156)

---

Run x
CdAgHg: relaxed, PBEsol.

a = 5.152 Å, b = 5.152 Å, c = 5.152 Å
α = 144.03°, β = 133.55°, γ = 60.11°
Positions (direct):
Cd  0.000  0.000  0.000
Ag  0.340  0.340  0.000
Hg  0.673  0.673  0.000

Computed properties:
Total moment (μB per cell): 0.0
Symmetry: Imm2 (44)

---

Run y
CdAgHg: relaxed, PBEsol.

a = 6.408 Å, b = 6.408 Å, c = 6.408 Å
α = 152.04°, β = 152.04°, γ = 39.95°
Positions (direct):
Cd  0.000  0.000  0.000
Ag  0.342  0.342  0.000
Hg  0.678  0.678  0.000

Computed properties:
Total moment (μB per cell): 0.0
Symmetry: I4mm (107)

---

Most stable structure: run x